(1)
A geometry-optimized ErRe2N4 structure. Source: the Alexandria database, functional GGA-PBE.

Computed properties:
- volume (Å³ per cell) = 313.44
- VASP energy (Ry/atom) = -0.6906
- energy above the most stable polymorph in this dataset (meV/atom) = 0

Cell: 3.2076 9.7059 10.0680 Å, 90.00 90.00 90.00°
Space group Cmcm (No. 63)
Unique sites:
Er 0.0000 0.1292 0.2500 x4
Re 0.0000 0.3866 0.0637 x8
N 0.0000 0.0000 0.0000 x4
N 0.0000 0.2612 0.6060 x8
N 0.0000 0.4388 0.2500 x4

---

(2)
A geometry-optimized SmEr2ReN4 structure. Source: the Alexandria database, functional GGA-PBE.

Computed properties:
- volume (Å³ per cell) = 459.42
- VASP energy (Ry/atom) = -0.6260

Cell: 3.4314 11.6268 11.5153 Å, 90.00 90.00 90.00°
Space group Cmcm (No. 63)
Unique sites:
Sm 0.0000 0.1233 0.2500 x4
Er 0.0000 0.3687 0.0389 x8
Re 0.0000 0.1398 0.7500 x4
N 0.0000 0.0000 0.0000 x4
N 0.0000 0.2629 0.6274 x8
N 0.0000 0.4449 0.2500 x4

---

(3)
A geometry-optimized Sr2ErReN4 structure. Source: the Alexandria database, functional GGA-PBE.

Computed properties:
- volume (Å³ per cell) = 268.42
- VASP energy (Ry/atom) = -0.5503

Cell: 5.9957 5.9957 7.4670 Å, 90.00 90.00 90.00°
Space group I-4 (No. 82)
Unique sites:
Sr 0.0000 0.0000 0.0000 x2
Sr 0.0000 0.5000 0.2500 x2
Er 0.0000 0.0000 0.5000 x2
Re 0.0000 0.5000 0.7500 x2
N 0.1805 0.7441 0.6677 x8

---

(4)
A geometry-optimized Sr2ErRe2N6 structure. Source: the Alexandria database, functional GGA-PBE.

Computed properties:
- volume (Å³ per cell) = 598.18
- VASP energy (Ry/atom) = -0.6016

Cell: 6.1241 6.1241 18.4169 Å, 90.00 90.00 120.00°
Space group R-3m (No. 166, hexagonal axes)
Unique sites:
Sr 0.0000 0.0000 0.2108 x6
Er 0.0000 0.0000 0.0000 x3
Re 0.0000 0.0000 0.4319 x6
N 0.0022 0.5011 0.7473 x18

---

(5)
A geometry-optimized Er4Rh2N structure. Source: the Alexandria database, functional GGA-PBE.

Computed properties:
- volume (Å³ per cell) = 297.46
- VASP energy (Ry/atom) = -0.4971

Cell: 4.5400 4.5400 14.4318 Å, 90.00 90.00 90.00°
Space group I4/mmm (No. 139)
Unique sites:
Er 0.0000 0.0000 0.1751 x4
Er 0.0000 0.5000 0.0000 x4
Rh 0.0000 0.0000 0.3648 x4
N 0.0000 0.0000 0.0000 x2

---

(6)
A geometry-optimized Er6Rh2N structure. Source: the Alexandria database, functional GGA-PBE.

Computed properties:
- volume (Å³ per cell) = 411.62
- VASP energy (Ry/atom) = -0.4741

Cell: 6.3884 6.9625 11.1494 Å, 90.00 123.90 90.00°
Space group P2_1/c (No. 14)
Unique sites:
Er 0.1309 0.0377 0.2436 x4
Er 0.2340 0.6938 0.0587 x4
Er 0.3640 0.1753 0.0562 x4
Rh 0.2868 0.0918 0.7529 x4
N 0.0000 0.0000 0.0000 x2

---

(7)
A geometry-optimized Er3RhN structure. Source: the Alexandria database, functional GGA-PBE.

Computed properties:
- volume (Å³ per cell) = 100.96
- VASP energy (Ry/atom) = -0.4984

Cell: 4.6564 4.6564 4.6564 Å, 90.00 90.00 90.00°
Space group Pm-3m (No. 221)
Unique sites:
Er 0.0000 0.0000 0.5000 x3
Rh 0.5000 0.5000 0.5000 x1
N 0.0000 0.0000 0.0000 x1

---

(8)
A geometry-optimized Er2RhN structure. Source: the Alexandria database, functional GGA-PBE.

Computed properties:
- volume (Å³ per cell) = 208.35
- VASP energy (Ry/atom) = -0.5361

Cell: 3.4036 3.4036 20.7672 Å, 90.00 90.00 120.00°
Space group R-3m (No. 166, hexagonal axes)
Unique sites:
Er 0.0000 0.0000 0.2338 x6
Rh 0.0000 0.0000 0.0000 x3
N 0.0000 0.0000 0.5000 x3

---

(9)
A geometry-optimized Er12Rh3N5 structure. Source: the Alexandria database, functional GGA-PBE.

Computed properties:
- volume (Å³ per cell) = 3401.16
- VASP energy (Ry/atom) = -0.5097

Cell: 15.0387 15.0387 15.0387 Å, 90.00 90.00 90.00°
Space group Ia-3d (No. 230)
Unique sites:
Er 0.0305 0.0531 0.6513 x96
Rh 0.0000 0.2500 0.1250 x24
N 0.0000 0.0000 0.0000 x16
N 0.0000 0.2500 0.3750 x24

---

(10)
A geometry-optimized ErTh2RhN4 structure. Source: the Alexandria database, functional GGA-PBE.

Computed properties:
- volume (Å³ per cell) = 495.04
- VASP energy (Ry/atom) = -0.6303

Cell: 3.4323 11.9823 12.0370 Å, 90.00 90.00 90.00°
Space group Cmcm (No. 63)
Unique sites:
Er 0.0000 0.1162 0.2500 x4
Th 0.0000 0.3702 0.0570 x8
Rh 0.0000 0.1475 0.7500 x4
N 0.0000 0.0000 0.0000 x4
N 0.0000 0.2798 0.6248 x8
N 0.0000 0.4669 0.2500 x4

---

(11)
A geometry-optimized ErRuN structure. Source: the Alexandria database, functional GGA-PBE.

Computed properties:
- volume (Å³ per cell) = 188.88
- VASP energy (Ry/atom) = -0.5739

Cell: 16.2971 3.4068 3.4019 Å, 90.00 90.00 90.00°
Space group Pnma (No. 62)
Unique sites:
Er 0.1732 0.2500 0.2273 x4
Ru 0.0007 0.7500 0.2497 x4
N 0.1856 0.7500 0.7253 x4

---

(12)
A geometry-optimized Er3Ru5N12 structure. Source: the Alexandria database, functional GGA-PBE.

Computed properties:
- volume (Å³ per cell) = 1977.34
- VASP energy (Ry/atom) = -0.5984

Cell: 12.5514 12.5514 12.5514 Å, 90.00 90.00 90.00°
Space group Ia-3d (No. 230)
Unique sites:
Er 0.0000 0.2500 0.1250 x24
Ru 0.0000 0.0000 0.0000 x16
Ru 0.0000 0.2500 0.3750 x24
N 0.0310 0.0530 0.6504 x96

---

- What is the VASP energy in the eleventh record?
  -0.5739 Ry/atom

---

- VASP energy of number 6 (Er6Rh2N)?
  -0.4741 Ry/atom